Density functional theory data (PBE) for an optimized crystal structure of Nd3CS2.

extended XYZ file:
```
24
Lattice="0.0000 5.6462 11.8771 4.0170 0.0000 11.8771 4.0170 5.6462 0.0000" Properties=species:S:1:pos:R:3 pbc="T T T"
Nd 2.9110 1.2599 6.7997
Nd 5.2507 4.2347 8.9078
Nd 3.1145 1.2599 11.0160
Nd 5.1230 4.0830 12.7382
Nd 7.2592 7.0578 14.8464
Nd 4.9195 4.0830 16.9546
Nd 3.1145 7.2095 6.7997
Nd 0.7748 4.2347 8.9078
Nd 2.9110 7.2095 11.0160
Nd 4.9195 10.0326 12.7382
Nd 2.7833 7.0578 14.8464
Nd 5.1230 10.0326 16.9546
C 1.0042 1.4116 0.9766
C 1.0042 1.4116 4.9620
C 7.0297 9.8809 18.7923
C 7.0297 9.8809 22.7777
S 3.0127 4.2347 3.0178
S 3.0127 4.2347 6.9902
S 5.0212 7.0578 8.9564
S 3.0127 4.2347 10.8255
S 5.0212 7.0578 12.9288
S 3.0127 4.2347 14.7979
S 5.0212 7.0578 16.7640
S 5.0212 7.0578 20.7364
```

Values from the calculation:
E_form (uncorrected) ... -1.4576 eV/atom
DOS(E_F) ... 4.8 states/eV per cell
Magnetic moment ... 0.000 Bohr magnetons per cell
Crystal system ... orthorhombic